No. 1
VASP calculation (PBE) on a relaxed structure of MnTe2W.

The space group is R-3m (No. 166, hexagonal axes) and the conventional cell measures 3.4033, 3.4033 and 24.3591 Å, with angles of 90.00, 90.00 and 120.00 degrees. The asymmetric unit holds Mn at (0.0000, 0.0000, 0.0000), Te at (0.0000, 0.0000, 0.2482) and W at (0.0000, 0.0000, 0.5000).

The calculation puts the relative energy among the computed polymorphs at 439 meV/atom. The uncorrected formation energy is 0.522 eV per atom.

=====

No. 2
VASP calculation (PBE) on a relaxed structure of CdTeMo2.

The space group is Pmmm (No. 47) and the conventional cell measures 3.443, 4.615 and 4.755 Å, with angles of 90.00, 90.00 and 90.00 degrees. The asymmetric unit holds Cd at (0.000, 0.000, 0.000), Te at (0.500, 0.000, 0.500), Mo at (0.000, 0.500, 0.500) and Mo at (0.500, 0.500, 0.000).

The calculation puts the relative energy among the computed polymorphs at 480 meV/atom. The uncorrected formation energy is 0.723 eV per atom.

=====

No. 3
VASP calculation (PBE) on a relaxed structure of Ni2Sb6Ir.

The space group is P-31m (No. 162) and the conventional cell measures 6.7190, 6.7190 and 5.0725 Å, with angles of 90.00, 90.00 and 120.00 degrees. The asymmetric unit holds Ni at (0.3333, 0.6667, 0.0000), Sb at (0.0000, 0.3533, 0.2610) and Ir at (0.0000, 0.0000, 0.5000).

The uncorrected formation energy is -0.221 eV per atom.

=====

No. 4
VASP calculation (PBE) on a relaxed structure of K2HfAlTe.

The space group is P4/mmm (No. 123) and the conventional cell measures 6.556, 6.556 and 5.345 Å, with angles of 90.00, 90.00 and 90.00 degrees. The asymmetric unit holds K at (0.000, 0.500, 0.000), Hf at (0.000, 0.000, 0.000), Al at (0.000, 0.000, 0.500) and Te at (0.500, 0.500, 0.500).

The uncorrected formation energy is 0.974 eV per atom.

=====

No. 5
VASP calculation (PBE) on a relaxed structure of Pr4GeSCl2.

The space group is P2/m (No. 10) and the conventional cell measures 7.207, 4.245 and 7.445 Å, with angles of 90.00, 109.72 and 90.00 degrees. The asymmetric unit holds Pr at (0.229, 0.000, 0.216), Pr at (0.248, 0.500, 0.778), Ge at (0.500, 0.000, 0.000), S at (0.000, 0.500, 0.000), Cl at (0.000, 0.000, 0.500) and Cl at (0.500, 0.500, 0.500).

The uncorrected formation energy is -1.509 eV per atom.

=====

| no. | theoretical density (g cm⁻³) |
| --- | --- |
| 1 | 10.1 |
| 2 | 9.5 |
| 3 | 8.7 |
| 4 | 3.0 |
| 5 | 5.7 |